a.
This record from Alexandria via LeMat-Bulk describes Nd4YEr6 after structural relaxation. The functional is PBE.

Values from the calculation:
Density of states at the Fermi level = 18.854 states/eV/cell
Size of the total moment = 0.00 μB/cell

Cell lengths 10.9576, 10.9576, 3.5406 Å; angles 90.00, 90.00, 120.00 degrees
Closest atoms and distances in Å follow each position.
Space group P-6m2 (No. 187)
Inequivalent atoms, fractional coordinates:
Nd1 0.0000 0.0000 0.0000 (multiplicity 1)  3 Er 3.10
Nd2 0.0545 0.5272 0.5000 (multiplicity 3)  6 Er 3.46-3.47, 2 Nd 3.54
Y1 0.6667 0.3333 0.0000 (multiplicity 1)  2 Y 3.54, 6 Er 3.67
Er1 0.1636 0.3271 0.0000 (multiplicity 3)  5 Nd 3.10-3.46
Er2 0.3274 0.1637 0.5000 (multiplicity 3)  4 Nd 3.47-3.58, 6 Er 3.54-3.57, 2 Y 3.67

***

b.
This record from Alexandria via LeMat-Bulk describes Nd4YEr6 after structural relaxation. The functional is PBE.

Values from the calculation:
Density of states at the Fermi level = 27.841 states/eV/cell
Size of the total moment = 0.00 μB/cell

Cell lengths 6.6455, 6.6455, 17.0182 Å; angles 90.00, 90.00, 90.00 degrees
Closest atoms and distances in Å follow each position.
Space group I-42m (No. 121)
Inequivalent atoms, fractional coordinates:
Nd1 0.1895 0.1895 0.1761 (multiplicity 8)  5 Er 3.39-3.62, 1 Y 3.49, 1 Nd 3.56
Y1 0.0000 0.0000 0.0000 (multiplicity 2)  8 Er 3.32-3.70, 4 Nd 3.49
Er1 0.0000 0.5000 0.0000 (multiplicity 4)  4 Er 3.24, 2 Y 3.32
Er2 0.1780 0.1780 0.3754 (multiplicity 8)  3 Er 3.24-3.35, 5 Nd 3.39-3.62

***

What is the stability order? It is a, b, from most stable to least stable.

***

a.
This record from Alexandria via LeMat-Bulk describes Nd2Y3Er3 after structural relaxation. The functional is PBE.

Values from the calculation:
Density of states at the Fermi level = 23.323 states/eV/cell
Size of the total moment = 0.00 μB/cell

Cell lengths 23.9085, 3.5948, 6.2199 Å; angles 90.00, 105.06, 90.00 degrees
Closest atoms and distances in Å follow each position.
Space group C2/m (No. 12)
Inequivalent atoms, fractional coordinates:
Nd1 0.2491 0.0000 0.2507 (multiplicity 4)  3 Er 3.56-3.59, 3 Y 3.57-3.60, 6 Nd 3.57-3.61
Y1 0.0000 0.0000 0.0000 (multiplicity 2)  8 Er 3.53-3.59, 4 Y 3.53-3.59
Y2 0.1237 0.0000 0.7891 (multiplicity 4)  6 Er 3.53-3.60, 3 Y 3.53-3.59, 3 Nd 3.57-3.60
Er1 0.0000 0.5000 0.5000 (multiplicity 2)  4 Er 3.52-3.59, 8 Y 3.53-3.59
Er2 0.1235 0.5000 0.2911 (multiplicity 4)  3 Er 3.52-3.59, 6 Y 3.53-3.60, 3 Nd 3.56-3.59

***

b.
This record from Alexandria via LeMat-Bulk describes Nd2Y3Er3 after structural relaxation. The functional is PBE.

Values from the calculation:
Density of states at the Fermi level = 27.041 states/eV/cell
Size of the total moment = 0.00 μB/cell

Cell lengths 16.1606, 5.7836, 5.9910 Å; angles 90.00, 111.44, 90.00 degrees
Closest atoms and distances in Å follow each position.
Space group C2/m (No. 12)
Inequivalent atoms, fractional coordinates:
Nd1 0.2493 0.0000 0.3104 (multiplicity 4)  5 Er 3.44-3.77, 5 Y 3.46-3.79, 2 Nd 3.67
Y1 0.0000 0.5000 0.5000 (multiplicity 2)  2 Y 3.33, 4 Er 3.48
Y2 0.1286 0.5000 0.0801 (multiplicity 4)  1 Y 3.33, 4 Nd 3.46-3.57, 3 Er 3.49-3.67
Er1 0.0000 0.0000 0.0000 (multiplicity 2)  2 Er 3.31, 4 Y 3.49
Er2 0.1274 0.0000 0.6751 (multiplicity 4)  1 Er 3.31, 4 Nd 3.44-3.59, 3 Y 3.48-3.67

***

What is the stability order? It is a, b, from most stable to least stable.

***

a.
This record from Alexandria via LeMat-Bulk describes Nd2Y3Er7 after structural relaxation. The functional is PBE.

Values from the calculation:
Density of states at the Fermi level = 35.815 states/eV/cell
Size of the total moment = 0.00 μB/cell

Cell lengths 5.6736, 37.5948, 3.6138 Å; angles 90.00, 90.00, 90.00 degrees
Closest atoms and distances in Å follow each position.
Space group Cmmm (No. 65)
Inequivalent atoms, fractional coordinates:
Nd1 0.0000 0.1467 0.0000 (multiplicity 4)  3 Er 3.15-3.39
Y1 0.0000 0.3141 0.5000 (multiplicity 4)  2 Y 3.61, 6 Er 3.63-3.76, 4 Nd 3.67
Y2 0.0000 0.5000 0.5000 (multiplicity 2)  4 Er 3.36, 2 Y 3.61
Er1 0.0000 0.0000 0.0000 (multiplicity 2)  4 Er 3.21, 4 Y 3.36
Er2 0.0000 0.0705 0.5000 (multiplicity 4)  6 Er 3.21-3.43, 2 Nd 3.39
Er3 0.0000 0.2304 0.0000 (multiplicity 4)  1 Nd 3.15, 2 Er 3.20
Er4 0.0000 0.4110 0.0000 (multiplicity 4)  6 Er 3.43-3.61, 2 Nd 3.57, 2 Y 3.80

***

b.
This record from Alexandria via LeMat-Bulk describes Nd2Y3Er7 after structural relaxation. The functional is PBE.

Values from the calculation:
Density of states at the Fermi level = 17.928 states/eV/cell
Size of the total moment = 0.00 μB/cell

Cell lengths 6.3227, 3.5133, 17.4013 Å; angles 90.00, 96.13, 90.00 degrees
Closest atoms and distances in Å follow each position.
Space group P2/m (No. 10)
Inequivalent atoms, fractional coordinates:
Nd1 0.0595 0.0000 0.1738 (multiplicity 2)  5 Er 3.40-3.49, 2 Nd 3.51, 4 Y 3.59-3.66
Y1 0.4512 0.5000 0.8423 (multiplicity 2)  2 Y 3.51, 7 Er 3.57-3.72, 4 Nd 3.59-3.66
Y2 0.5000 0.0000 0.5000 (multiplicity 1)  10 Er 3.51-3.62, 2 Y 3.51
Er1 0.0000 0.5000 0.5000 (multiplicity 1)  8 Er 3.48-3.54, 4 Y 3.62
Er2 0.2255 0.0000 0.6654 (multiplicity 2)  1 Nd 3.49, 8 Er 3.51-3.62, 3 Y 3.52-3.70
Er3 0.2559 0.0000 0.9991 (multiplicity 2)  2 Er 3.08-3.24, 2 Nd 3.40-3.43
Er4 0.2746 0.5000 0.3368 (multiplicity 2)  7 Er 3.48-3.62, 2 Nd 3.49, 3 Y 3.51-3.72

***

What is the stability order? It is b, a, from most stable to least stable.

***

a.
This record from Alexandria via LeMat-Bulk describes NdY2Er2 after structural relaxation. The functional is PBE.

Values from the calculation:
Density of states at the Fermi level = 67.573 states/eV/cell
Size of the total moment = 0.00 μB/cell

Cell lengths 5.6042, 11.6153, 22.5197 Å; angles 90.00, 90.00, 90.00 degrees
Closest atoms and distances in Å follow each position.
Space group Fddd (No. 70, origin choice 2)
Inequivalent atoms, fractional coordinates:
Nd1 0.1250 0.1250 0.1250 (multiplicity 8)  4 Er 3.24, 4 Y 3.41
Y1 0.1250 0.2920 0.6250 (multiplicity 16)  2 Y 3.40, 2 Nd 3.41, 4 Er 3.55-3.78
Er1 0.0000 0.0000 0.0000 (multiplicity 16)  2 Er 3.22, 2 Nd 3.24, 2 Y 3.55

***

b.
This record from Alexandria via LeMat-Bulk describes NdY2Er2 after structural relaxation. The functional is PBE.

Values from the calculation:
Density of states at the Fermi level = 11.174 states/eV/cell
Size of the total moment = 0.00 μB/cell

Cell lengths 9.4047, 9.4047, 3.7221 Å; angles 90.00, 90.00, 90.00 degrees
Closest atoms and distances in Å follow each position.
Space group P4/mbm (No. 127)
Inequivalent atoms, fractional coordinates:
Nd1 0.0000 0.0000 0.0000 (multiplicity 2)  2 Nd 3.72, 4 Er 3.72, 8 Y 3.95
Y1 0.1727 0.3273 0.5000 (multiplicity 4)  6 Er 3.28-3.38
Er1 0.1240 0.6240 0.0000 (multiplicity 4)  6 Y 3.28-3.38, 1 Er 3.30

***

What is the stability order? It is b, a, from most stable to least stable.